LiLa3Os at its PBEsol-relaxed geometry, computed with SCAN.

Results
- formation energy from the elements (eV/atom) = -0.1279
- theoretical density (kg/m³) = 5838
- total magnetization (Bohr magnetons per cell) = 0.04

```
data_LiLa3Os
_cell_length_a 5.5892
_cell_length_b 5.5892
_cell_length_c 5.5892
_cell_angle_alpha 90.00
_cell_angle_beta 90.00
_cell_angle_gamma 90.00
_symmetry_space_group_name_H-M 'P m -3 m'
_symmetry_Int_Tables_number 221
_symmetry_space_group_name_Hall '-P 4 2 3'
loop_
_atom_site_label
_atom_site_fract_x
_atom_site_fract_y
_atom_site_fract_z
Li1 0.0000 0.0000 0.0000
La1 0.0000 0.5000 0.5000
Os1 0.5000 0.5000 0.5000
```

Re3HBr at its PBEsol-relaxed geometry, computed with SCAN.

Results
- final energy (eV per atom) = -45.64
- theoretical density (kg/m³) = 16552
- total magnetization (Bohr magnetons per cell) = 0.00

```
data_Re3HBr
_cell_length_a 4.0033
_cell_length_b 4.0033
_cell_length_c 4.0033
_cell_angle_alpha 90.00
_cell_angle_beta 90.00
_cell_angle_gamma 90.00
_symmetry_space_group_name_H-M 'P m -3 m'
_symmetry_Int_Tables_number 221
_symmetry_space_group_name_Hall '-P 4 2 3'
loop_
_atom_site_label
_atom_site_fract_x
_atom_site_fract_y
_atom_site_fract_z
Re1 0.0000 0.0000 0.5000
H1 0.0000 0.0000 0.0000
Br1 0.5000 0.5000 0.5000
```

FeCoBi2O6 at its PBEsol-relaxed geometry, computed with SCAN.

Results
- theoretical density (kg/m³) = 8968
- energy relative to the elements, uncorrected (meV/atom) = -1263
- total magnetization (Bohr magnetons per cell) = 4.84

```
data_FeCoBi2O6
_cell_length_a 3.7250
_cell_length_b 3.7250
_cell_length_c 8.3905
_cell_angle_alpha 90.00
_cell_angle_beta 90.00
_cell_angle_gamma 90.00
_symmetry_space_group_name_H-M 'P 4 m m'
_symmetry_Int_Tables_number 99
_symmetry_space_group_name_Hall 'P 4 -2'
loop_
_atom_site_label
_atom_site_fract_x
_atom_site_fract_y
_atom_site_fract_z
Fe1 0.0000 0.0000 0.0000
Co1 0.0000 0.0000 0.5208
Bi1 0.5000 0.5000 0.2324
Bi2 0.5000 0.5000 0.7204
O1 0.0000 0.0000 0.3035
O2 0.0000 0.0000 0.7769
O3 0.0000 0.5000 0.0571
O4 0.0000 0.5000 0.5573
```

BeOsAu2 at its PBEsol-relaxed geometry, computed with SCAN.

Results
- formation energy from the elements (eV/atom) = 0.4591
- theoretical density (kg/m³) = 16796
- total magnetization (Bohr magnetons per cell) = 0.00

```
data_BeOsAu2
_cell_length_a 4.3493
_cell_length_b 4.3493
_cell_length_c 3.1001
_cell_angle_alpha 90.00
_cell_angle_beta 90.00
_cell_angle_gamma 90.00
_symmetry_space_group_name_H-M 'P 4/m m m'
_symmetry_Int_Tables_number 123
_symmetry_space_group_name_Hall '-P 4 2'
loop_
_atom_site_label
_atom_site_fract_x
_atom_site_fract_y
_atom_site_fract_z
Be1 0.0000 0.0000 0.0000
Os1 0.5000 0.5000 0.0000
Au1 0.0000 0.5000 0.5000
```